Record 1
VASP calculation (PBE) on a relaxed structure of Cs2KS.

The calculation puts the uncorrected formation energy at -0.658 eV per atom. For the total DFT energy (no corrections), the calculation gives -38.3 eV/cell. The calculation puts the total magnetization at 0.00 μB/atom.

It has space group I-42d (No. 122), with a = 13.172 Å, b = 13.172 Å, c = 6.126 Å, α = 90.00°, β = 90.00° and γ = 90.00°. The inequivalent atoms are Cs at (0.066, 0.750, 0.125), K at (0.000, 0.000, 0.500) and S at (0.000, 0.000, 0.000).

---

Record 2
VASP calculation (PBE) on a relaxed structure of CsK2S.

The calculation puts the uncorrected formation energy at -0.691 eV per atom. For the total DFT energy (no corrections), the calculation gives -29.8 eV/cell. The calculation puts the total magnetization at 0.00 μB/atom.

It has space group R3m (No. 160, hexagonal axes), with a = 5.2205 Å, b = 5.2205 Å, c = 28.0054 Å, α = 90.00°, β = 90.00° and γ = 120.00°. The inequivalent atoms are Cs at (0.0000, 0.0000, 0.0000), K at (0.0000, 0.0000, 0.2308), K at (0.0000, 0.0000, 0.4883) and S at (0.0000, 0.0000, 0.8711).

---

Record 3
VASP calculation (PBE) on a relaxed structure of Cs3K8S.

The calculation puts the uncorrected formation energy at -0.197 eV per atom. For the total DFT energy (no corrections), the calculation gives -35.7 eV/cell. The calculation puts the total magnetization at 0.00 μB/atom.

It has space group P6_3mc (No. 186), with a = 14.5847 Å, b = 14.5847 Å, c = 9.5297 Å, α = 90.00°, β = 90.00° and γ = 120.00°. The inequivalent atoms are Cs at (0.1518, 0.3035, 0.0000), K at (0.0000, 0.0000, 0.2512), K at (0.0726, 0.5363, 0.2604), K at (0.2367, 0.4733, 0.5455), K at (0.3333, 0.6667, 0.9918) and S at (0.3333, 0.6667, 0.3248).